A relaxed structure of PrSe2, computed with PBE.

total magnetic moment: 0.333 μB per atom
total DFT energy (no corrections): -4.731 eV per atom

Cell lengths 9.1730, 9.1730, 9.1730 Å; angles 60.00, 60.00, 60.00 degrees
Element x y z (fractional)
1 Pr 0.5000 0.5000 0.5000
2 Pr 0.2500 0.2500 0.2500
3 Se 0.3750 0.3750 0.8750
4 Se 0.3750 0.3750 0.3750
5 Se 0.8750 0.3750 0.3750
6 Se 0.3750 0.8750 0.3750